1.
# NdGeIr

An optimized crystal structure of NdGeIr (PBE, OQMD).

Calculated values
Space-group type: F-43m (216)
E_tot, eV per atom: -5.788
ρ, g/cm³: 9.0

abc: 4.742 4.742 4.742
angles: 60.00 60.00 60.00
Fractional coordinates of all 3 atoms:
Nd 0.000 0.000 0.000
Ge 0.750 0.750 0.750
Ir 0.250 0.250 0.250

***

2.
# NdGeIr

An optimized crystal structure of NdGeIr (PBE, OQMD).

Calculated values
Space-group type: Pnma (62)
E_tot, eV per atom: -6.903
ρ, g/cm³: 11.1

abc: 7.204 4.471 7.570
angles: 90.00 90.00 90.00
Fractional coordinates of all 12 atoms:
Nd 0.015 0.250 0.198
Nd 0.485 0.750 0.698
Nd 0.515 0.250 0.302
Nd 0.985 0.750 0.802
Ge 0.180 0.250 0.585
Ge 0.320 0.750 0.085
Ge 0.680 0.250 0.915
Ge 0.820 0.750 0.415
Ir 0.198 0.750 0.411
Ir 0.302 0.250 0.911
Ir 0.698 0.750 0.089
Ir 0.802 0.250 0.589

***

3.
# Nd6GeIr2

An optimized crystal structure of Nd6GeIr2 (PBE, OQMD).

Calculated values
Space-group type: P-62m (189)
E_tot, eV per atom: -6.103
ρ, g/cm³: 9.0

abc: 7.801 7.801 4.643
angles: 90.00 90.00 120.00
Fractional coordinates of all 9 atoms:
Nd 0.000 0.403 0.000
Nd 0.000 0.728 0.500
Nd 0.272 0.272 0.500
Nd 0.403 0.000 0.000
Nd 0.597 0.597 0.000
Nd 0.728 0.000 0.500
Ge 0.000 0.000 0.000
Ir 0.333 0.667 0.500
Ir 0.667 0.333 0.500

***

4.
# Nd2NiGe4Ir

An optimized crystal structure of Nd2NiGe4Ir (PBE, OQMD).

Calculated values
Space-group type: Amm2 (38)
E_tot, eV per atom: -6.060
ρ, g/cm³: 8.7

abc: 4.358 8.731 8.731
angles: 28.36 90.00 90.00
Fractional coordinates of all 8 atoms:
Nd 0.000 0.000 0.000
Nd 0.500 0.217 0.217
Ni 0.500 0.430 0.430
Ge 0.000 0.366 0.366
Ge 0.000 0.647 0.647
Ge 0.500 0.567 0.567
Ge 0.500 0.863 0.863
Ir 0.000 0.790 0.790

***

5.
# NdGePIr2

An optimized crystal structure of NdGePIr2 (PBE, OQMD).

Calculated values
Space-group type: P4/nmm (129)
E_tot, eV per atom: -7.374
ρ, g/cm³: 12.0

abc: 4.155 4.155 10.154
angles: 90.00 90.00 90.00
Fractional coordinates of all 10 atoms:
Nd 0.250 0.250 0.249
Nd 0.750 0.750 0.751
Ge 0.250 0.750 0.500
Ge 0.750 0.250 0.500
P 0.250 0.250 0.867
P 0.750 0.750 0.133
Ir 0.250 0.250 0.640
Ir 0.250 0.750 0.000
Ir 0.750 0.250 0.000
Ir 0.750 0.750 0.360

***

6.
# Pr2NdGe4Ir2Pd2

An optimized crystal structure of Pr2NdGe4Ir2Pd2 (PBE, OQMD).

Calculated values
Space-group type: Immm (71)
E_tot, eV per atom: -6.348
ρ, g/cm³: 9.5

abc: 12.972 12.972 12.972
angles: 161.41 160.80 26.85
Fractional coordinates of all 11 atoms:
Pr 0.145 0.145 0.000
Pr 0.855 0.855 0.000
Nd 0.500 0.000 0.500
Ge 0.050 0.550 0.500
Ge 0.306 0.306 0.000
Ge 0.694 0.694 0.000
Ge 0.950 0.450 0.500
Ir 0.403 0.403 0.000
Ir 0.597 0.597 0.000
Pd 0.251 0.751 0.500
Pd 0.749 0.249 0.500

***

7.
# PrNd2Ge4Ir2Pd2

An optimized crystal structure of PrNd2Ge4Ir2Pd2 (PBE, OQMD).

Calculated values
Space-group type: Immm (71)
E_tot, eV per atom: -6.349
ρ, g/cm³: 9.6

abc: 12.968 12.968 12.968
angles: 161.43 160.86 26.79
Fractional coordinates of all 11 atoms:
Pr 0.000 0.000 0.000
Nd 0.356 0.856 0.500
Nd 0.644 0.144 0.500
Ge 0.194 0.694 0.500
Ge 0.450 0.450 0.000
Ge 0.550 0.550 0.000
Ge 0.806 0.306 0.500
Ir 0.097 0.597 0.500
Ir 0.903 0.403 0.500
Pd 0.249 0.249 0.000
Pd 0.751 0.751 0.000

***

8.
# PrNd2Ge4Ir2Pd2

An optimized crystal structure of PrNd2Ge4Ir2Pd2 (PBE, OQMD).

Calculated values
Space-group type: Immm (71)
E_tot, eV per atom: -6.410
ρ, g/cm³: 9.7

abc: 13.048 13.048 13.048
angles: 161.83 160.98 26.42
Fractional coordinates of all 11 atoms:
Pr 0.000 0.000 0.000
Nd 0.352 0.852 0.500
Nd 0.648 0.148 0.500
Ge 0.196 0.696 0.500
Ge 0.451 0.451 0.000
Ge 0.549 0.549 0.000
Ge 0.804 0.304 0.500
Ir 0.250 0.250 0.000
Ir 0.750 0.750 0.000
Pd 0.099 0.599 0.500
Pd 0.901 0.401 0.500

***

9.
# Pr2NdGe4Ir2Pd2

An optimized crystal structure of Pr2NdGe4Ir2Pd2 (PBE, OQMD).

Calculated values
Space-group type: Immm (71)
E_tot, eV per atom: -6.409
ρ, g/cm³: 9.6

abc: 13.058 13.058 13.058
angles: 161.81 160.94 26.47
Fractional coordinates of all 11 atoms:
Pr 0.148 0.148 0.000
Pr 0.852 0.852 0.000
Nd 0.500 0.000 0.500
Ge 0.049 0.549 0.500
Ge 0.304 0.304 0.000
Ge 0.696 0.696 0.000
Ge 0.951 0.451 0.500
Ir 0.250 0.750 0.500
Ir 0.750 0.250 0.500
Pd 0.402 0.402 0.000
Pd 0.598 0.598 0.000

***

10.
# PrNd2Ge4Ir4

An optimized crystal structure of PrNd2Ge4Ir4 (PBE, OQMD).

Calculated values
Space-group type: Immm (71)
E_tot, eV per atom: -7.008
ρ, g/cm³: 11.1

abc: 13.015 13.015 13.015
angles: 161.62 161.24 26.38
Fractional coordinates of all 11 atoms:
Pr 0.000 0.000 0.000
Nd 0.355 0.855 0.500
Nd 0.645 0.145 0.500
Ge 0.196 0.696 0.500
Ge 0.451 0.451 0.000
Ge 0.549 0.549 0.000
Ge 0.804 0.304 0.500
Ir 0.099 0.599 0.500
Ir 0.250 0.250 0.000
Ir 0.750 0.750 0.000
Ir 0.901 0.401 0.500

***

11.
# PrNdGe2Ir

An optimized crystal structure of PrNdGe2Ir (PBE, OQMD).

Calculated values
Space-group type: C2/m (12)
E_tot, eV per atom: -6.365
ρ, g/cm³: 9.0

abc: 5.951 5.951 10.666
angles: 115.18 115.18 43.25
Fractional coordinates of all 10 atoms:
Pr 0.007 0.007 0.331
Pr 0.993 0.993 0.669
Nd 0.191 0.191 0.117
Nd 0.809 0.809 0.883
Ge 0.340 0.340 0.446
Ge 0.488 0.488 0.117
Ge 0.512 0.512 0.883
Ge 0.660 0.660 0.554
Ir 0.272 0.272 0.666
Ir 0.728 0.728 0.334

***

12.
# Pr2NdGe4Ir2Pt2

An optimized crystal structure of Pr2NdGe4Ir2Pt2 (PBE, OQMD).

Calculated values
Space-group type: Immm (71)
E_tot, eV per atom: -6.640
ρ, g/cm³: 11.0

abc: 13.028 13.028 13.028
angles: 161.77 160.92 26.51
Fractional coordinates of all 11 atoms:
Pr 0.148 0.148 0.000
Pr 0.852 0.852 0.000
Nd 0.500 0.000 0.500
Ge 0.049 0.549 0.500
Ge 0.304 0.304 0.000
Ge 0.696 0.696 0.000
Ge 0.951 0.451 0.500
Ir 0.250 0.750 0.500
Ir 0.750 0.250 0.500
Pt 0.402 0.402 0.000
Pt 0.598 0.598 0.000

***

13.
# PrNd2Si2Ge2Ir4

An optimized crystal structure of PrNd2Si2Ge2Ir4 (PBE, OQMD).

Calculated values
Space-group type: Immm (71)
E_tot, eV per atom: -7.296
ρ, g/cm³: 10.7

abc: 12.854 12.854 12.854
angles: 161.57 161.17 26.46
Fractional coordinates of all 11 atoms:
Pr 0.000 0.000 0.000
Nd 0.354 0.854 0.500
Nd 0.646 0.146 0.500
Si 0.199 0.699 0.500
Si 0.801 0.301 0.500
Ge 0.450 0.450 0.000
Ge 0.550 0.550 0.000
Ir 0.104 0.604 0.500
Ir 0.250 0.250 0.000
Ir 0.750 0.750 0.000
Ir 0.896 0.396 0.500

***

14.
# NdGe2IrPt

An optimized crystal structure of NdGe2IrPt (PBE, OQMD).

Calculated values
Space-group type: P4/nmm (129)
E_tot, eV per atom: -6.618
ρ, g/cm³: 11.8

abc: 4.371 4.371 9.990
angles: 90.00 90.00 90.00
Fractional coordinates of all 10 atoms:
Nd 0.250 0.250 0.244
Nd 0.750 0.750 0.756
Ge 0.250 0.250 0.634
Ge 0.250 0.750 0.000
Ge 0.750 0.250 0.000
Ge 0.750 0.750 0.366
Ir 0.250 0.250 0.877
Ir 0.750 0.750 0.123
Pt 0.250 0.750 0.500
Pt 0.750 0.250 0.500

***

15.
# NdGe2IrPt

An optimized crystal structure of NdGe2IrPt (PBE, OQMD).

Calculated values
Space-group type: P4/nmm (129)
E_tot, eV per atom: -6.661
ρ, g/cm³: 11.9

abc: 4.275 4.275 10.343
angles: 90.00 90.00 90.00
Fractional coordinates of all 10 atoms:
Nd 0.250 0.250 0.248
Nd 0.750 0.750 0.752
Ge 0.250 0.250 0.628
Ge 0.250 0.750 0.000
Ge 0.750 0.250 0.000
Ge 0.750 0.750 0.372
Ir 0.250 0.750 0.500
Ir 0.750 0.250 0.500
Pt 0.250 0.250 0.868
Pt 0.750 0.750 0.132

***

16.
# NdSiGeIr2

An optimized crystal structure of NdSiGeIr2 (PBE, OQMD).

Calculated values
Space-group type: P4/nmm (129)
E_tot, eV per atom: -7.422
ρ, g/cm³: 11.6

abc: 4.235 4.235 10.003
angles: 90.00 90.00 90.00
Fractional coordinates of all 10 atoms:
Nd 0.250 0.250 0.247
Nd 0.750 0.750 0.753
Si 0.250 0.250 0.627
Si 0.750 0.750 0.373
Ge 0.250 0.750 0.000
Ge 0.750 0.250 0.000
Ir 0.250 0.250 0.864
Ir 0.250 0.750 0.500
Ir 0.750 0.250 0.500
Ir 0.750 0.750 0.136

***

17.
# NdSi2GeIr

An optimized crystal structure of NdSi2GeIr (PBE, OQMD).

Calculated values
Space-group type: I4mm (107)
E_tot, eV per atom: -6.581
ρ, g/cm³: 8.3

abc: 5.852 5.852 5.852
angles: 136.80 136.80 62.74
Fractional coordinates of all 5 atoms:
Nd 0.000 0.000 0.000
Si 0.263 0.763 0.500
Si 0.763 0.263 0.500
Ge 0.416 0.416 0.000
Ir 0.662 0.662 0.000

***

18.
# NdSiGe2Ir

An optimized crystal structure of NdSiGe2Ir (PBE, OQMD).

Calculated values
Space-group type: I4mm (107)
E_tot, eV per atom: -6.348
ρ, g/cm³: 8.8

abc: 5.880 5.880 5.880
angles: 136.09 136.09 63.85
Fractional coordinates of all 5 atoms:
Nd 0.000 0.000 0.000
Si 0.418 0.418 0.000
Ge 0.266 0.766 0.500
Ge 0.766 0.266 0.500
Ir 0.650 0.650 0.000

***

19.
# NdSnGeIr2

An optimized crystal structure of NdSnGeIr2 (PBE, OQMD).

Calculated values
Space-group type: P4/nmm (129)
E_tot, eV per atom: -6.907
ρ, g/cm³: 11.9

abc: 4.314 4.314 10.773
angles: 90.00 90.00 90.00
Fractional coordinates of all 10 atoms:
Nd 0.250 0.250 0.238
Nd 0.750 0.750 0.762
Sn 0.250 0.750 0.500
Sn 0.750 0.250 0.500
Ge 0.250 0.250 0.877
Ge 0.750 0.750 0.123
Ir 0.250 0.250 0.651
Ir 0.250 0.750 0.000
Ir 0.750 0.250 0.000
Ir 0.750 0.750 0.349

***

20.
# NiGe2Ir

An optimized crystal structure of NiGe2Ir (PBE, OQMD).

Calculated values
Space-group type: Pmc2_1 (26)
E_tot, eV per atom: -6.242
ρ, g/cm³: 11.1

abc: 3.494 6.123 5.541
angles: 90.00 90.00 90.00
Fractional coordinates of all 8 atoms:
Ni 0.000 0.053 0.000
Ni 0.000 0.947 0.500
Ge 0.000 0.319 0.315
Ge 0.000 0.681 0.815
Ge 0.500 0.160 0.690
Ge 0.500 0.840 0.190
Ir 0.500 0.441 0.006
Ir 0.500 0.559 0.506